InRe2PdS (GGA-PBE, relaxed); formation energy from raw total energies = 2.54 eV per atom; ρ = 8.18 Mg/m³
1.0
5.110 0.000 0.000
0.000 4.864 0.000
0.000 0.000 5.110
In Pd Re S
1 1 2 1
Direct
0.000 0.000 0.000 In
0.000 0.500 0.000 Pd
0.000 0.000 0.500 Re
0.500 0.000 0.000 Re
0.500 0.500 0.500 S